Record 1
Entry from the Open Quantum Materials Database: crystalline Gd2YMg3Ir2Pd at its relaxed geometry (PBE).

The structure in CIF format:
```
data_Gd2YMg3Ir2Pd
_cell_length_a 4.029
_cell_length_b 12.807
_cell_length_c 7.383
_cell_angle_alpha 90.00
_cell_angle_beta 90.00
_cell_angle_gamma 90.00
_space_group_name_H-M_alt 'A m m 2'
_space_group_IT_number 38
loop_
_space_group_symop_operation_xyz
'x,y,z'
'-x,-y,z'
'-x,y,z'
'x,-y,z'
'x,y+1/2,z+1/2'
'-x,-y+1/2,z+1/2'
'-x,y+1/2,z+1/2'
'x,-y+1/2,z+1/2'
loop_
_atom_site_label
_atom_site_fract_x
_atom_site_fract_y
_atom_site_fract_z
Gd1 0.000 0.208 0.000
Y1 0.000 0.000 0.376
Mg1 0.500 0.000 0.041
Mg2 0.500 0.124 0.667
Ir1 0.500 0.167 0.292
Pd1 0.000 0.000 0.792
```

Values from the calculation:
- Volume: 21.2 A^3/atom
- Final energy: -5.500 eV/atom

Record 2
Entry from the Open Quantum Materials Database: crystalline GeTeAu at its relaxed geometry (PBE).

The structure in CIF format:
```
data_GeTeAu
_cell_length_a 6.831
_cell_length_b 6.831
_cell_length_c 6.831
_cell_angle_alpha 90.00
_cell_angle_beta 90.00
_cell_angle_gamma 90.00
_space_group_name_H-M_alt 'F -4 3 m'
_space_group_IT_number 216
_space_group_name_Hall 'F -4 2 3'
loop_
_atom_site_label
_atom_site_fract_x
_atom_site_fract_y
_atom_site_fract_z
Ge1 0.000 0.000 0.000
Te1 0.250 0.250 0.750
Au1 0.000 0.000 0.500
```

Values from the calculation:
- Volume: 26.6 A^3/atom
- Final energy: -3.383 eV/atom

Record 3
Entry from the Open Quantum Materials Database: crystalline Na2LiTcH6 at its relaxed geometry (PBE).

The structure in CIF format:
```
data_Na2LiTcH6
_cell_length_a 7.323
_cell_length_b 7.323
_cell_length_c 7.323
_cell_angle_alpha 90.00
_cell_angle_beta 90.00
_cell_angle_gamma 90.00
_space_group_name_H-M_alt 'F m -3 m'
_space_group_IT_number 225
_space_group_name_Hall '-F 4 2 3'
loop_
_atom_site_label
_atom_site_fract_x
_atom_site_fract_y
_atom_site_fract_z
Na1 0.250 0.250 0.250
Li1 0.000 0.000 0.000
Tc1 0.000 0.000 0.500
H1 0.000 0.000 0.259
```

Values from the calculation:
- Volume: 9.8 A^3/atom
- Final energy: -3.593 eV/atom

Record 4
Entry from the Open Quantum Materials Database: crystalline LaDy3Cu4 at its relaxed geometry (PBE).

The structure in CIF format:
```
data_LaDy3Cu4
_cell_length_a 5.449
_cell_length_b 4.495
_cell_length_c 7.173
_cell_angle_alpha 90.00
_cell_angle_beta 91.11
_cell_angle_gamma 90.00
_space_group_name_H-M_alt 'P 1 m 1'
_space_group_IT_number 6
loop_
_space_group_symop_operation_xyz
'x,y,z'
'x,-y,z'
loop_
_atom_site_label
_atom_site_fract_x
_atom_site_fract_y
_atom_site_fract_z
La1 0.000 0.000 0.000
Dy1 0.269 0.500 0.368
Dy2 0.497 0.500 0.856
Dy3 0.763 0.000 0.501
Cu1 0.002 0.500 0.702
Cu2 0.263 0.000 0.639
Cu3 0.504 0.000 0.152
Cu4 0.747 0.500 0.223
```

Values from the calculation:
- Formation energy from the elements: -0.233 eV/atom
- Volume: 22.0 A^3/atom